DFT (PBE with a Hubbard U) results for a geometry-optimized Li2MnP2O7 structure.

abc: 6.2038 6.4407 8.7724
angles: 92.79 109.00 102.42
Last column: nearest neighbours and their distance in Å.
Fractional positions:
1 Mn 0.1717 0.6340 0.6962  3 O 1.81-2.03
2 O 0.2568 0.0817 0.0895  1 P 1.52
3 Mn 0.8283 0.3660 0.3038  3 O 1.81-2.03
4 O 0.5378 0.3146 0.3541  1 P 1.52
5 P 0.7121 0.8114 0.7440  4 O 1.52-1.65
6 O 0.2316 0.9944 0.3641  2 P 1.61-1.65
7 O 0.7770 0.9125 0.2505  1 P 1.50
8 P 0.0125 0.0996 0.6075  3 O 1.50-1.61
9 Li 0.6262 0.7019 0.0478  4 O 1.97-2.05
10 O 0.2230 0.0875 0.7495  1 P 1.50
11 O 0.7684 0.0056 0.6359  2 P 1.61-1.65
12 O 0.7432 0.9183 0.9105  1 P 1.52
13 O 0.8952 0.6792 0.7570  1 P 1.54
14 O 0.0003 0.6809 0.4499  1 P 1.53
15 Li 0.3738 0.2981 0.9522  4 O 1.97-2.05
16 O 0.9997 0.3191 0.5501  1 P 1.53
17 O 0.7027 0.4146 0.0954  1 Mn 1.81, 2 Li 1.97
18 P 0.9875 0.9004 0.3925  3 O 1.50-1.61
19 O 0.4622 0.6854 0.6459  1 P 1.52
20 Li 0.1485 0.7889 0.9832  3 O 1.94-2.06
21 Li 0.8515 0.2111 0.0168  3 O 1.94-2.06
22 O 0.2973 0.5854 0.9046  1 Mn 1.81, 2 Li 1.97
23 O 0.1048 0.3208 0.2430  1 P 1.54
24 P 0.2879 0.1886 0.2560  4 O 1.52-1.65

Summary:
E above lowest polymorph, kJ/mol of formula units: 316